! Nd8Tm3Sc2 PBE relaxed; values from VASP
&SYSTEM
  ibrav = 0, nat = 13, ntyp = 3
/
ATOMIC_SPECIES
Nd 144.24 Nd.upf
Tm 168.93 Tm.upf
Sc 44.96 Sc.upf
ATOMIC_POSITIONS angstrom
Nd 0.0612 0.0000 1.6129
Nd 2.3524 2.9117 4.7277
Nd 3.5499 0.0000 2.3688
Nd 8.2646 2.9117 0.8572
Nd 2.3524 -2.9117 4.7277
Nd 7.0671 0.0000 3.2162
Nd 8.2646 -2.9117 0.8572
Nd 10.5558 0.0000 3.9721
Tm 5.3085 2.9646 2.7925
Tm 6.4820 0.0000 0.0000
Tm 5.3085 -2.9646 2.7925
Sc 0.6864 0.0000 4.7313
Sc 9.9306 0.0000 0.8537
CELL_PARAMETERS angstrom
6.4820 -5.8524 0.0000
6.4820 5.8524 0.0000
-2.3470 0.0000 5.5850
! **DFT formation energy**: 0.169 eV/atom
! **Total energy**: -62.03 eV/cell
! **Offset from the most stable computed form**: 0.0 kJ per mole of atoms